[1]
The following is a SCAN calculation of a crystal of LiMg2TlCl relaxed with PBEsol, from Alexandria via LeMat-Bulk.

```
LiMg2TlCl
1.0
-3.757 -0.137 -3.246
-0.930 -4.709 1.276
-3.675 1.857 4.174
Mg Li Cl Tl
2 1 1 1
Cartesian
-1.878 -0.069 -1.623
-0.465 -2.355 0.638
-4.181 -1.495 1.102
0.000 0.000 0.000
-1.838 0.928 2.087
```

Values from the calculation:
Uncorrected energy = -18.57 eV/atom
Raw formation energy = -0.03 eV/atom
ρ = 3.39 g/cm³

=====

[2]
The following is a SCAN calculation of a crystal of LiMnCl relaxed with PBEsol, from Alexandria via LeMat-Bulk.

```
LiMnCl
1.0
-0.318 2.279 -2.190
-2.117 -0.245 2.355
3.195 3.561 3.242
Cl Mn Li
1 1 1
Cartesian
3.142 3.502 3.188
0.077 2.545 0.334
0.737 3.108 3.127
```

Values from the calculation:
Polymorph energy (0 for the lowest one) = 0 meV per atom
Uncorrected energy = -10.23 eV/atom
Raw formation energy = -0.69 eV/atom
ρ = 3.20 g/cm³

=====

[3]
The following is a SCAN calculation of a crystal of LiMnCl relaxed with PBEsol, from Alexandria via LeMat-Bulk.

```
LiMnCl
1.0
3.274 0.000 0.000
1.637 2.698 0.000
1.637 0.000 5.888
Mn Cl Li
1 1 1
Cartesian
1.637 0.000 1.858
1.637 0.000 5.797
3.274 0.000 4.121
```

Values from the calculation:
Polymorph energy (0 for the lowest one) = 28 meV per atom
Uncorrected energy = -10.20 eV/atom
Raw formation energy = -0.66 eV/atom
ρ = 3.11 g/cm³

=====

[4]
The following is a SCAN calculation of a crystal of LiMnSCl2 relaxed with PBEsol, from Alexandria via LeMat-Bulk.

```
LiMnSCl2
1.0
4.559 0.000 0.000
0.000 4.782 0.000
0.000 0.000 4.782
Mn Li Cl S
1 1 2 1
Cartesian
0.000 0.000 0.000
2.279 2.391 2.391
0.000 0.000 2.391
0.000 2.391 0.000
2.279 0.000 0.000
```

Values from the calculation:
Uncorrected energy = -10.31 eV/atom
Raw formation energy = -1.06 eV/atom
ρ = 2.63 g/cm³

=====

[5]
The following is a SCAN calculation of a crystal of LiMoCl2 relaxed with PBEsol, from Alexandria via LeMat-Bulk.

```
LiMoCl2
1.0
-3.378 0.300 0.856
-0.490 -3.381 -0.749
3.263 0.041 5.844
Li Cl Mo
1 2 1
Cartesian
1.312 -1.489 5.860
0.059 -0.073 0.289
-1.298 -2.250 2.840
0.652 -0.728 2.858
```

Values from the calculation:
Polymorph energy (0 for the lowest one) = 253 meV per atom
Uncorrected energy = -13.70 eV/atom
Raw formation energy = -0.39 eV/atom
ρ = 3.79 g/cm³

=====

[6]
The following is a SCAN calculation of a crystal of Li2MoCl relaxed with PBEsol, from Alexandria via LeMat-Bulk.

```
Li2MoCl
1.0
-1.005 2.317 -1.337
-2.869 -3.479 -0.818
-0.789 2.261 4.510
Mo Li Cl
1 2 1
Cartesian
-3.366 -1.236 0.389
-2.392 0.500 2.664
-1.144 1.941 4.223
-2.316 0.964 0.357
```

Values from the calculation:
Polymorph energy (0 for the lowest one) = 11 meV per atom
Uncorrected energy = -11.82 eV/atom
Raw formation energy = 0.09 eV/atom
ρ = 4.18 g/cm³

=====

[7]
The following is a SCAN calculation of a crystal of LiMo3Cl relaxed with PBEsol, from Alexandria via LeMat-Bulk.

```
LiMo3Cl
1.0
4.366 0.000 0.000
0.000 4.366 0.000
0.000 0.000 4.366
Mo Li Cl
3 1 1
Cartesian
2.183 0.000 0.000
0.000 2.183 0.000
0.000 0.000 2.183
2.183 2.183 2.183
0.000 0.000 0.000
```

Values from the calculation:
Uncorrected energy = -21.87 eV/atom
Raw formation energy = 1.13 eV/atom
ρ = 6.59 g/cm³

=====

[8]
The following is a SCAN calculation of a crystal of LiMoCl2 relaxed with PBEsol, from Alexandria via LeMat-Bulk.

```
LiMoCl2
1.0
-1.553 -2.586 0.534
1.480 -2.680 0.116
1.060 -0.826 7.863
Cl Li Mo
2 1 1
Cartesian
0.735 -1.105 5.570
0.252 -4.987 2.942
0.494 -3.046 4.256
0.000 0.000 0.000
```

Values from the calculation:
Polymorph energy (0 for the lowest one) = 0 meV per atom
Uncorrected energy = -13.95 eV/atom
Raw formation energy = -0.65 eV/atom
ρ = 4.57 g/cm³

=====

no.,size of the total moment (μB per formula unit)
1,0.0
2,4.5
3,4.6
4,4.0
5,3.7
6,0.0
7,0.0
8,0.0